No. 1
The following is a PBE calculation of crystalline BeMo2Pt at its relaxed geometry, from Alexandria via LeMat-Bulk.

Output
**DFT formation energy**: 0.318 eV/atom

abc: 3.587 3.587 18.982
angles: 90.00 90.00 90.00
Space group I-42d (No. 122)
One atom of each set of equivalent atoms:
Be1 0.000 0.000 0.000 x4
Mo1 0.233 0.250 0.125 x8
Pt1 0.000 0.000 0.500 x4

---

No. 2
The following is a PBE calculation of crystalline BeMo2Pt at its relaxed geometry, from Alexandria via LeMat-Bulk.

Output
**DFT formation energy**: -0.009 eV/atom

abc: 3.363 3.363 5.125
angles: 90.00 90.00 90.00
Space group P4/mmm (No. 123)
One atom of each set of equivalent atoms:
Be1 0.000 0.000 0.000 x1
Mo1 0.500 0.500 0.222 x2
Pt1 0.000 0.000 0.500 x1

---

No. 3
The following is a PBE calculation of crystalline Be2MoPt at its relaxed geometry, from Alexandria via LeMat-Bulk.

Output
**DFT formation energy**: -0.220 eV/atom

abc: 5.766 5.766 5.766
angles: 90.00 90.00 90.00
Space group Fm-3m (No. 225)
One atom of each set of equivalent atoms:
Be1 0.250 0.250 0.250 x8
Mo1 0.000 0.000 0.000 x4
Pt1 0.000 0.000 0.500 x4

---

> Number 2 is which compound?

BeMo2Pt

---

> Which of these has the lowest DFT formation energy?

Be2MoPt

---

> Which of these has the lowest DFT formation energy?

Be2MoPt

---

> Which formula does entry 3 have?

Be2MoPt